1.
Material: AcGe2Se6
Method: DFT, PBE-GGA
State: relaxed

Cell and atoms, written as extended XYZ:
```
18
Lattice="6.6817 -5.9494 0.0000 6.6817 5.9494 0.0000 -2.2588 0.0000 6.4779" Properties=species:S:1:pos:R:3 pbc="T T T"
Ac 4.9876 3.9048 4.8584
Ac 6.1170 -3.9048 1.6195
Ge 2.1732 0.8432 5.1438
Ge 3.3026 -0.8432 1.9048
Ge 7.8020 0.8432 4.5730
Ge 8.9314 -0.8432 1.3341
Se -0.1131 0.7464 4.4586
Se 4.9040 2.6345 0.1358
Se 1.0163 -0.7464 1.2197
Se 3.6164 1.2302 3.2377
Se 7.3300 2.6345 3.1031
Se 2.4870 -1.2302 6.4767
Se 8.6176 1.2302 0.0012
Se 3.7746 -2.6345 3.3748
Se 7.4882 -1.2302 3.2401
Se 10.0883 0.7464 5.2581
Se 6.2006 -2.6345 6.3420
Se 11.2177 -0.7464 2.0192
```

Properties
- Uncorrected formation energy: -0.613 eV/atom

=====

2.
Material: Zr2TaGa2Ir5
Method: DFT, PBE-GGA
State: relaxed

Cell and atoms, written as extended XYZ:
```
20
Lattice="9.4143 0.0000 0.0000 0.0000 9.4143 0.0000 0.0000 0.0000 3.7312" Properties=species:S:1:pos:R:3 pbc="T T T"
Zr 1.6282 3.0790 0.0000
Zr 3.0790 7.7861 0.0000
Zr 6.3354 1.6282 0.0000
Zr 7.7861 6.3354 0.0000
Ta 0.0000 0.0000 0.0000
Ta 4.7072 4.7072 0.0000
Ga 1.1738 5.8810 0.0000
Ga 3.5333 1.1738 0.0000
Ga 5.8810 8.2405 0.0000
Ga 8.2405 3.5333 0.0000
Ir 0.0000 4.7072 1.8656
Ir 0.6330 7.5023 1.8656
Ir 1.9121 0.6330 1.8656
Ir 2.7951 5.3401 1.8656
Ir 4.0742 2.7951 1.8656
Ir 4.7072 0.0000 1.8656
Ir 5.3401 6.6193 1.8656
Ir 6.6193 4.0742 1.8656
Ir 7.5023 8.7814 1.8656
Ir 8.7814 1.9121 1.8656
```

Properties
- E_form: -63.6 kJ per mole of atoms

=====

3.
Material: Pu3MnPt8
Method: DFT, PBE-GGA
State: relaxed

Cell and atoms, written as extended XYZ:
```
12
Lattice="2.7097 1.5644 8.8223 -2.7097 1.5644 8.8223 0.0000 -3.1288 8.8223" Properties=species:S:1:pos:R:3 pbc="T T T"
Pu 0.0000 0.0000 0.0000
Pu 0.0000 0.0000 3.3544
Pu 0.0000 0.0000 13.4701
Mn 0.0000 0.0000 16.8194
Pt -1.3601 -0.7852 10.5318
Pt 0.0000 -1.5626 6.1670
Pt -1.3532 0.7813 6.1670
Pt 0.0000 0.0000 8.3430
Pt 1.3601 -0.7852 10.5318
Pt 0.0000 1.5705 10.5318
Pt 1.3532 0.7813 6.1670
Pt 0.0000 0.0000 21.5831
```

Properties
- E_form: -62.0 kJ per mole of atoms

=====

4.
Material: GdCoH
Method: DFT, PBE-GGA
State: relaxed

Cell and atoms, written as extended XYZ:
```
6
Lattice="-1.8354 1.8354 6.7955 1.8354 -1.8354 6.7955 1.8354 1.8354 -6.7955" Properties=species:S:1:pos:R:3 pbc="T T T"
Gd 0.0000 0.0000 1.7795
Gd 0.0000 0.0000 11.8114
Co 0.0000 0.0000 5.6428
Co 0.0000 0.0000 7.9481
H 0.0000 0.0000 4.0567
H 0.0000 0.0000 9.5342
```

Properties
- Polymorph energy (0 for the lowest one): 0 meV/atom

=====

5.
Material: Ho6Co2Sn
Method: DFT, PBE-GGA
State: relaxed

Cell and atoms, written as extended XYZ:
```
18
Lattice="-4.6748 4.8035 4.9497 4.6748 -4.8035 4.9497 4.6748 4.8035 -4.9497" Properties=species:S:1:pos:R:3 pbc="T T T"
Ho 4.6748 2.8072 -2.6082
Ho 2.6580 1.7633 0.0000
Ho 6.6917 1.7633 0.0000
Ho 1.7478 4.8035 -1.7350
Ho 2.9270 0.0000 3.2147
Ho 0.0000 1.9963 2.3416
Ho 4.6748 2.8072 2.6082
Ho 1.7478 4.8035 1.7350
Ho 2.9270 0.0000 6.6847
Ho -2.0168 3.0403 4.9497
Ho 2.0168 3.0403 4.9497
Ho 0.0000 1.9963 7.5579
Co 4.6748 0.0000 1.1262
Co 0.0000 3.2877 0.0000
Co 0.0000 6.3193 0.0000
Co 0.0000 4.8035 3.8235
Sn 0.0000 0.0000 0.0000
Sn 0.0000 0.0000 4.9497
```

Properties
- E_form: -33.7 kJ per mole of atoms

=====

6.
Material: MnH4Rh4
Method: DFT, PBE-GGA
State: relaxed

Cell and atoms, written as extended XYZ:
```
9
Lattice="-3.1883 3.1883 1.9801 3.1883 -3.1883 1.9801 3.1883 3.1883 -1.9801" Properties=species:S:1:pos:R:3 pbc="T T T"
Mn 0.0000 0.0000 0.0000
H 2.0003 0.7294 0.0000
H 2.4588 -1.1880 1.9801
H 0.7294 4.3762 0.0000
H 1.1880 2.4588 1.9801
Rh 3.8587 1.2884 0.0000
Rh 1.2884 2.5178 0.0000
Rh 1.8998 0.6704 1.9801
Rh -0.6704 1.8998 1.9801
```

Properties
- Uncorrected energy: -52.3 eV for the cell shown